HoEr6Tm3Th2 after structural relaxation. Source: Alexandria via LeMat-Bulk, functional GGA-PBE.

abc: 6.100 6.100 11.643
angles: 95.02 95.02 119.94
Atoms (fractional coordinates):
Ho: 0.000 0.000 0.000
Er: 0.916 0.580 0.750
Er: 0.747 0.747 0.250
Er: 0.084 0.420 0.250
Er: 0.580 0.916 0.750
Er: 0.253 0.253 0.750
Er: 0.420 0.084 0.250
Tm: 0.166 0.834 0.500
Tm: 0.834 0.166 0.500
Tm: 0.500 0.500 0.500
Th: 0.333 0.667 0.000
Th: 0.667 0.333 0.000

Fermi-level density of states	1.4456	states/eV/atom
formation energy	26.6	meV/atom
ρ	9.61	g cm⁻³
size of the total moment	0.00	μB per atom